Here is a relaxed structure of MnSn2MoI from Alexandria via LeMat-Bulk. Energies are from GGA-PBE.

As for the raw formation energy: 863 kJ/mol of formula units. The value obtained for the magnetization is 4.46 μB/cell. For the density of states at the Fermi level, the calculation gives 5.05 states/eV/cell. As for the density: 5.5 Mg/m³. The final energy is -0.3030 Ry/atom.

The space group is P4/mmm (No. 123) and the conventional cell measures 5.663, 5.663 and 4.838 Å, with angles of 90.00, 90.00 and 90.00 degrees. Symmetry generates all atoms from Mn at (0.000, 0.000, 0.000), Sn at (0.000, 0.500, 0.500), Mo at (0.500, 0.500, 0.000) and I at (0.500, 0.500, 0.500).

***

Here is a relaxed structure of Ni2Bi2Pb from Alexandria via LeMat-Bulk. Energies are from GGA-PBE.

The value obtained for the magnetization is 0.00 μB/cell. For the density of states at the Fermi level, the calculation gives 6.90 states/eV/cell. As for the density: 10.4 Mg/m³. The calculation puts the formation energy at 0.10 eV per atom. Its relative energy among the computed polymorphs is 77.8 meV per atom. The final energy is -0.3310 Ry/atom.

The space group is I4/mmm (No. 139) and the conventional cell measures 3.589, 3.589 and 18.397 Å, with angles of 90.00, 90.00 and 90.00 degrees. Symmetry generates all atoms from Ni at (0.000, 0.500, 0.250), Bi at (0.000, 0.000, 0.142) and Pb at (0.000, 0.000, 0.500).

***

Here is a relaxed structure of BaCa4Cd5 from Alexandria via LeMat-Bulk. Energies are from GGA-PBE.

The value obtained for the magnetization is 0.00 μB/cell. For the density of states at the Fermi level, the calculation gives 8.18 states/eV/cell. As for the density: 4.7 Mg/m³. The calculation puts the formation energy at -0.34 eV per atom. The final energy is -0.1315 Ry/atom.

The space group is P4/mmm (No. 123) and the conventional cell measures 3.890, 3.890 and 19.888 Å, with angles of 90.00, 90.00 and 90.00 degrees. Symmetry generates all atoms from Ba at (0.000, 0.000, 0.000), Ca at (0.000, 0.000, 0.213), Ca at (0.000, 0.000, 0.404), Cd at (0.500, 0.500, 0.120), Cd at (0.500, 0.500, 0.309) and Cd at (0.500, 0.500, 0.500).